DFT (PBE) results for crystalline Ti8V2Sn at its relaxed geometry.

Properties
- density of states at the Fermi level (states/eV/cell) = 15.9
- ΔH_f (0 K) (eV per atom) = -0.0046
- SG = No. 12
- VASP energy (eV per atom) = -7.7681

Cell lengths 5.0663, 7.4601, 7.4601 Å; angles 42.41, 81.22, 81.22 degrees
Sites, in units of the cell vectors:
1 Ti 0.5806 0.6462 0.1478
2 Ti 0.4194 0.8522 0.3538
3 Ti 0.5806 0.1478 0.6462
4 Ti 0.9236 0.5962 0.5962
5 Ti 0.1219 0.7845 0.7845
6 Ti 0.4194 0.3538 0.8522
7 Ti 0.0764 0.4038 0.4038
8 Ti 0.8781 0.2155 0.2155
9 V 0.3677 0.2607 0.2607
10 V 0.6323 0.7393 0.7393
11 Sn 0.0000 0.0000 0.0000

=====

DFT (PBE) results for crystalline Sc2H6Os at its relaxed geometry.

Properties
- density of states at the Fermi level (states/eV/cell) = 3.9
- SG = No. 12
- VASP energy (eV per atom) = -5.1829

Cell lengths 3.4071, 4.3492, 5.5924 Å; angles 112.88, 107.66, 90.00 degrees
Sites, in units of the cell vectors:
1 H 0.5000 0.1985 0.0000
2 H 0.8444 0.6074 0.6905
3 H 0.5000 0.8015 0.0000
4 H 0.8444 0.0831 0.6905
5 H 0.1556 0.3926 0.3095
6 H 0.1556 0.9169 0.3095
7 Os 0.0000 0.0000 0.0000
8 Sc 0.3383 0.3395 0.6790
9 Sc 0.6617 0.6605 0.3210